This record from the Alexandria database describes a relaxed ZnCd2Ir crystal. The functional is GGA-PBE.

Cell lengths 4.6016, 4.6016, 4.6016 Å; angles 60.00, 60.00, 60.00 degrees
Fractional coordinates of all 4 atoms:
Zn 0.7500 0.7500 0.7500
Ir 0.5000 0.5000 0.5000
Cd 0.0000 0.0000 0.0000
Cd 0.2500 0.2500 0.2500

Properties
symmetry	F-43m, No. 216
spin magnetization	0.00	μB/cell
total DFT energy (no corrections)	-2.898	eV/atom

***

This record from the Alexandria database describes a relaxed NaCaMnCd2 crystal. The functional is GGA-PBE.

Cell lengths 5.2393, 5.5582, 5.2393 Å; angles 90.00, 90.00, 90.00 degrees
Fractional coordinates of all 5 atoms:
Cd 0.0000 0.0000 0.5000
Cd 0.5000 0.0000 0.0000
Na 0.0000 0.0000 0.0000
Mn 0.5000 0.5000 0.5000
Ca 0.0000 0.5000 0.0000

Properties
symmetry	P4/mmm, No. 123
spin magnetization	4.18	μB/cell
ΔE to the lowest computed polymorph	23	meV per atom
total DFT energy (no corrections)	-2.059	eV/atom

***

This record from the Alexandria database describes a relaxed ZnHRh2 crystal. The functional is GGA-PBE.

Cell lengths 4.0852, 4.0852, 4.0852 Å; angles 60.00, 60.00, 60.00 degrees
Fractional coordinates of all 4 atoms:
Zn 0.5000 0.5000 0.5000
Rh 0.2500 0.2500 0.2500
Rh 0.7500 0.7500 0.7500
H 0.0000 0.0000 0.0000

Properties
symmetry	Fm-3m, No. 225
spin magnetization	0.00	μB/cell
ΔE to the lowest computed polymorph	475	meV per atom
total DFT energy (no corrections)	-4.503	eV/atom

***

This record from the Alexandria database describes a relaxed Tb12Ho7Zr crystal. The functional is GGA-PBE.

Cell lengths 8.6479, 8.6479, 8.6479 Å; angles 91.18, 91.18, 91.18 degrees
Fractional coordinates of all 20 atoms:
Tb 0.4425 0.1234 0.3658
Tb 0.3637 0.2191 0.7612
Tb 0.2388 0.6363 0.7809
Tb 0.7809 0.2388 0.6363
Tb 0.5575 0.8766 0.6342
Tb 0.8766 0.6342 0.5575
Tb 0.7612 0.3637 0.2191
Tb 0.6363 0.7809 0.2388
Tb 0.1234 0.3658 0.4425
Tb 0.3658 0.4425 0.1234
Tb 0.6342 0.5575 0.8766
Tb 0.2191 0.7612 0.3637
Ho 0.0326 0.3318 0.9383
Ho 0.0617 0.9674 0.6682
Ho 0.3318 0.9383 0.0326
Ho 0.9383 0.0326 0.3318
Ho 0.9674 0.6682 0.0617
Ho 0.6682 0.0617 0.9674
Ho 0.5000 0.5000 0.5000
Zr 0.0000 0.0000 0.0000

Properties
symmetry	R-3, No. 148
spin magnetization	0.90	μB/cell
ΔE to the lowest computed polymorph	11	meV per atom
total DFT energy (no corrections)	-4.544	eV/atom

***

This record from the Alexandria database describes a relaxed Ho7In2C2 crystal. The functional is GGA-PBE.

Cell lengths 3.4696, 9.1754, 9.1754 Å; angles 69.64, 79.10, 79.10 degrees
Fractional coordinates of all 11 atoms:
Ho 0.3603 0.7442 0.5352
Ho 0.1927 0.7257 0.8889
Ho 0.8073 0.1111 0.2743
Ho 0.1556 0.0664 0.6223
Ho 0.5000 0.0384 0.9616
Ho 0.8444 0.3777 0.9336
Ho 0.6397 0.4648 0.2558
In 0.5000 0.3665 0.6335
In 0.0000 0.7808 0.2192
C 0.2667 0.3225 0.1442
C 0.7333 0.8558 0.6775

Properties
symmetry	Imm2, No. 44
spin magnetization	0.02	μB/cell
total DFT energy (no corrections)	-5.241	eV/atom

***

This record from the Alexandria database describes a relaxed Np2As2H3 crystal. The functional is GGA-PBE.

Cell lengths 3.8306, 5.5628, 5.9103 Å; angles 118.34, 90.00, 110.14 degrees
Fractional coordinates of all 7 atoms:
H 0.5000 0.0000 0.0000
H 0.3433 0.6867 0.5846
H 0.6567 0.3133 0.4154
Np 0.8550 0.7099 0.7794
Np 0.1450 0.2901 0.2206
As 0.1210 0.2421 0.7109
As 0.8790 0.7579 0.2891

Properties
symmetry	C2/m, No. 12
spin magnetization	6.93	μB/cell
total DFT energy (no corrections)	-6.697	eV/atom

***

DOS(E_F)? In order: 0.531; 0.738; 1.170; 1.818; 0.785; 1.515 states/eV/atom.